Entry 1:
## Hf2FeNiH (PBE)

Data for a relaxed structure of Hf2FeNiH.

Lattice parameters (Å, degrees): 4.4479 4.4479 3.3347 90.00 90.00 90.00
Atoms (fractional coordinates):
Hf 0.0000 0.5000 0.0000
Hf 0.5000 0.0000 0.0000
Fe 0.0000 0.0000 0.5000
Ni 0.5000 0.5000 0.5000
H 0.0000 0.0000 0.0000

Summary:
ρ, g cm⁻³: 11.9
DOS(E_F), states/eV/atom: 0.948
Energy, eV/atom: -7.814
Size of the total moment, μB/f.u.: 0.7



Entry 2:
## Hf2FeNiH (PBE)

Data for a relaxed structure of Hf2FeNiH.

Lattice parameters (Å, degrees): 4.4614 4.4614 3.3082 90.00 90.00 90.00
Atoms (fractional coordinates):
Hf 0.0000 0.5000 0.0000
Hf 0.5000 0.0000 0.0000
Fe 0.0000 0.0000 0.5000
Ni 0.5000 0.5000 0.5000
H 0.5000 0.5000 0.0000

Summary:
ρ, g cm⁻³: 11.9
DOS(E_F), states/eV/atom: 0.684
Energy, eV/atom: -7.816
Size of the total moment, μB/f.u.: 0.6



Entry 3:
## HfFe2NiH (PBE)

Data for a relaxed structure of HfFe2NiH.

Lattice parameters (Å, degrees): 3.7619 3.7619 3.8340 90.00 90.00 90.00
Atoms (fractional coordinates):
Hf 0.0000 0.0000 0.0000
Fe 0.0000 0.5000 0.5000
Fe 0.5000 0.0000 0.5000
Ni 0.5000 0.5000 0.0000
H 0.5000 0.5000 0.5000

Summary:
ρ, g cm⁻³: 10.7
DOS(E_F), states/eV/atom: 0.756
Energy, eV/atom: -7.383
Size of the total moment, μB/f.u.: 2.8



Entry 4:
## HfFe2NiH (PBE)

Data for a relaxed structure of HfFe2NiH.

Lattice parameters (Å, degrees): 3.6608 3.6608 4.1316 90.00 90.00 90.00
Atoms (fractional coordinates):
Hf 0.0000 0.0000 0.0000
Fe 0.0000 0.5000 0.5000
Fe 0.5000 0.0000 0.5000
Ni 0.5000 0.5000 0.0000
H 0.0000 0.0000 0.5000

Summary:
ρ, g cm⁻³: 10.5
DOS(E_F), states/eV/atom: 0.777
Energy, eV/atom: -7.367
Size of the total moment, μB/f.u.: 3.0



Entry 5:
## HfFe2HOs (PBE)

Data for a relaxed structure of HfFe2HOs.

Lattice parameters (Å, degrees): 3.8518 3.8518 4.0261 90.00 90.00 90.00
Atoms (fractional coordinates):
Hf 0.0000 0.0000 0.0000
Fe 0.0000 0.5000 0.5000
Fe 0.5000 0.0000 0.5000
H 0.5000 0.5000 0.5000
Os 0.5000 0.5000 0.0000

Summary:
ρ, g cm⁻³: 13.4
DOS(E_F), states/eV/atom: 0.964
Energy, eV/atom: -8.361
Size of the total moment, μB/f.u.: 4.3



Entry 6:
## HfFeHOs2 (PBE)

Data for a relaxed structure of HfFeHOs2.

Lattice parameters (Å, degrees): 4.0089 4.0089 3.8706 90.00 90.00 90.00
Atoms (fractional coordinates):
Hf 0.0000 0.0000 0.0000
Fe 0.5000 0.5000 0.0000
H 0.5000 0.5000 0.5000
Os 0.0000 0.5000 0.5000
Os 0.5000 0.0000 0.5000

Summary:
ρ, g cm⁻³: 16.4
DOS(E_F), states/eV/atom: 0.849
Energy, eV/atom: -8.921
Size of the total moment, μB/f.u.: 2.2



Entry 7:
## HfFe2HOs (PBE)

Data for a relaxed structure of HfFe2HOs.

Lattice parameters (Å, degrees): 3.7622 3.7622 4.2585 90.00 90.00 90.00
Atoms (fractional coordinates):
Hf 0.0000 0.0000 0.0000
Fe 0.0000 0.5000 0.5000
Fe 0.5000 0.0000 0.5000
H 0.0000 0.0000 0.5000
Os 0.5000 0.5000 0.0000

Summary:
ρ, g cm⁻³: 13.3
DOS(E_F), states/eV/atom: 0.863
Energy, eV/atom: -8.356
Size of the total moment, μB/f.u.: 4.7



Entry 8:
## HfFePH (PBE)

Data for a relaxed structure of HfFePH.

Lattice parameters (Å, degrees): 3.6768 3.6768 6.5212 90.00 90.00 90.00
Atoms (fractional coordinates):
Hf 0.2500 0.2500 0.1629
Hf 0.7500 0.7500 0.8371
Fe 0.2500 0.7500 0.5000
Fe 0.7500 0.2500 0.5000
P 0.2500 0.2500 0.6856
P 0.7500 0.7500 0.3144
H 0.2500 0.7500 0.0000
H 0.7500 0.2500 0.0000

Summary:
ρ, g cm⁻³: 10.0
DOS(E_F), states/eV/atom: 0.530
Energy, eV/atom: -7.565
Size of the total moment, μB/f.u.: 0.0



Entry 9:
## HfPaFe2H6 (PBE)

Data for a relaxed structure of HfPaFe2H6.

Lattice parameters (Å, degrees): 5.8237 5.8237 5.8237 43.95 43.95 43.95
Atoms (fractional coordinates):
Hf 0.0000 0.0000 0.0000
Pa 0.5000 0.5000 0.5000
Fe 0.2865 0.2865 0.2865
Fe 0.7135 0.7135 0.7135
H 0.0539 0.0539 0.5725
H 0.0539 0.5725 0.0539
H 0.4275 0.9461 0.9461
H 0.5725 0.0539 0.0539
H 0.9461 0.4275 0.9461
H 0.9461 0.9461 0.4275

Summary:
ρ, g cm⁻³: 10.1
DOS(E_F), states/eV/atom: 0.334
Energy, eV/atom: -5.976
Size of the total moment, μB/f.u.: 1.0



Entry 10:
## HfFe2HPd (PBE)

Data for a relaxed structure of HfFe2HPd.

Lattice parameters (Å, degrees): 3.7957 3.7957 4.1553 90.00 90.00 90.00
Atoms (fractional coordinates):
Hf 0.0000 0.0000 0.0000
Fe 0.0000 0.5000 0.5000
Fe 0.5000 0.0000 0.5000
H 0.0000 0.0000 0.5000
Pd 0.5000 0.5000 0.0000

Summary:
ρ, g cm⁻³: 11.0
DOS(E_F), states/eV/atom: 0.894
Energy, eV/atom: -7.306
Size of the total moment, μB/f.u.: 3.2



Entry 11:
## HfFe2HPd (PBE)

Data for a relaxed structure of HfFe2HPd.

Lattice parameters (Å, degrees): 3.8598 3.8598 3.9798 90.00 90.00 90.00
Atoms (fractional coordinates):
Hf 0.0000 0.0000 0.0000
Fe 0.0000 0.5000 0.5000
Fe 0.5000 0.0000 0.5000
H 0.5000 0.5000 0.5000
Pd 0.5000 0.5000 0.0000

Summary:
ρ, g cm⁻³: 11.1
DOS(E_F), states/eV/atom: 0.751
Energy, eV/atom: -7.283
Size of the total moment, μB/f.u.: 2.8



Entry 12:
## Hf2FeHPt (PBE)

Data for a relaxed structure of Hf2FeHPt.

Lattice parameters (Å, degrees): 4.5277 4.5277 3.4567 90.00 90.00 90.00
Atoms (fractional coordinates):
Hf 0.0000 0.5000 0.0000
Hf 0.5000 0.0000 0.0000
Fe 0.0000 0.0000 0.5000
H 0.0000 0.0000 0.0000
Pt 0.5000 0.5000 0.5000

Summary:
ρ, g cm⁻³: 14.3
DOS(E_F), states/eV/atom: 0.880
Energy, eV/atom: -8.108
Size of the total moment, μB/f.u.: 1.4



Question: What is the energy in the twelfth record?
Answer: -8.108 eV/atom



Question: Look up the ρ of the second one.
Answer: 11.9 g cm⁻³



Question: The lowest ρ belongs to which entry?
Answer: HfFePH



Question: size of the total moment of number 3 (HfFe2NiH)?
Answer: 2.8 μB/f.u.